# 1
The following is a PBE-GGA calculation of a geometry-optimized MgBi3 structure, from Alexandria.

Lattice parameters (Å, degrees): 4.3556 3.4389 8.3053 90.00 90.00 90.00
With the nearest neighbours (Å) after each atom.
Fractional positions:
Bi  0.5000  0.0000  0.7133  2 Mg 3.14, 6 Bi 3.44-3.46
Bi  0.5000  0.5000  0.1702  4 Mg 3.17, 4 Bi 3.27-3.44
Bi  0.0000  0.5000  0.4643  8 Bi 3.27-3.46
Mg  0.0000  0.0000  0.9855  6 Bi 3.14-3.17, 2 Mg 3.44

Properties
Calculated total energy   -3.28 eV per atom
Formation energy from the elements   0.03 eV per atom
D(E_F)   0.473 states/eV/atom
Symmetry   Pmm2 (25)

---

# 2
The following is a PBE-GGA calculation of a geometry-optimized Li2HoMg2 structure, from Alexandria.

Lattice parameters (Å, degrees): 3.4807 6.9351 11.0346 117.91 99.07 90.00
With the nearest neighbours (Å) after each atom.
Fractional positions:
Li  0.2065  0.0598  0.4129  4 Li 2.97, 4 Mg 2.99-3.00
Li  0.7935  0.9402  0.5871  4 Li 2.97, 4 Mg 2.99-3.00
Li  0.7936  0.4402  0.5871  4 Li 2.97, 4 Mg 2.99-3.00
Li  0.2064  0.5598  0.4129  4 Li 2.97, 4 Mg 2.99-3.00
Mg  0.6172  0.6765  0.2346  4 Li 2.99-3.00, 4 Ho 3.33-3.34
Mg  0.3826  0.8235  0.7654  4 Li 2.99-3.00, 4 Ho 3.33-3.34
Mg  0.3828  0.3235  0.7654  4 Li 2.99-3.00, 4 Ho 3.33-3.34
Mg  0.6174  0.1765  0.2346  4 Li 2.99-3.00, 4 Ho 3.33-3.34
Ho  0.0000  0.2500  0.0000  8 Mg 3.33-3.34, 4 Ho 3.47-3.48
Ho  0.0000  0.7500  0.0000  8 Mg 3.33-3.34, 4 Ho 3.47-3.48

Properties
Offset from the most stable computed form   0.000 eV/atom
Calculated total energy   -2.35 eV per atom
Formation energy from the elements   -0.04 eV per atom
D(E_F)   0.665 states/eV/atom
Symmetry   C2/m (12)

---

# 3
The following is a PBE-GGA calculation of a geometry-optimized Er6TlHg2 structure, from Alexandria.

Lattice parameters (Å, degrees): 8.7243 8.7243 8.7243 106.68 111.28 110.48
With the nearest neighbours (Å) after each atom.
Fractional positions:
Er  0.2010  0.7543  0.9553  2 Hg 2.94-3.19, 1 Tl 3.24
Er  0.5453  0.7261  0.8191  3 Hg 3.18-3.20, 1 Tl 3.25, 1 Er 3.56
Er  0.4547  0.2739  0.1809  3 Hg 3.18-3.20, 1 Tl 3.25, 1 Er 3.56
Er  0.2837  0.9610  0.6773  3 Hg 2.90-3.21
Er  0.0930  0.2739  0.8191  3 Hg 3.18-3.20, 1 Tl 3.25, 1 Er 3.56
Er  0.7990  0.7543  0.5533  2 Hg 2.94-3.19, 1 Tl 3.24
Er  0.7990  0.2457  0.0447  2 Hg 2.94-3.19, 1 Tl 3.24
Er  0.9070  0.7261  0.1809  3 Hg 3.18-3.20, 1 Tl 3.25, 1 Er 3.56
Er  0.2837  0.6064  0.3227  3 Hg 2.90-3.21
Er  0.7163  0.0390  0.3227  3 Hg 2.90-3.21
Er  0.2010  0.2457  0.4467  2 Hg 2.94-3.19, 1 Tl 3.24
Er  0.7163  0.3936  0.6773  3 Hg 2.90-3.21
Tl  0.0000  0.0000  0.0000  8 Er 3.24-3.25, 2 Hg 3.42
Tl  0.0000  0.5000  0.5000  8 Er 3.31-3.37
Hg  0.6522  0.0000  0.6522  8 Er 2.94-3.21, 1 Hg 3.00
Hg  0.3478  0.0000  0.3478  8 Er 2.94-3.21, 1 Hg 3.00
Hg  0.5000  0.3634  0.8634  1 Hg 2.85, 2 Er 2.90
Hg  0.5000  0.6366  0.1366  1 Hg 2.85, 2 Er 2.90

Properties
Calculated total energy   -3.63 eV per atom
Formation energy from the elements   -0.25 eV per atom
D(E_F)   0.880 states/eV/atom
Symmetry   Immm (71)

---

# 4
The following is a PBE-GGA calculation of a geometry-optimized LaTbMgCd structure, from Alexandria.

Lattice parameters (Å, degrees): 5.4625 5.4625 5.4625 60.00 60.00 60.00
With the nearest neighbours (Å) after each atom.
Fractional positions:
La  0.0000  0.0000  0.0000  4 Cd 3.35, 4 Mg 3.35
Mg  0.2500  0.2500  0.2500  4 Tb 3.35, 4 La 3.35
Tb  0.5000  0.5000  0.5000  4 Mg 3.35, 4 Cd 3.35
Cd  0.7500  0.7500  0.7500  4 La 3.35, 4 Tb 3.35

Properties
Offset from the most stable computed form   0.006 eV/atom
Calculated total energy   -3.22 eV per atom
Formation energy from the elements   -0.20 eV per atom
D(E_F)   1.245 states/eV/atom
Symmetry   F-43m (216)

---

# 5
The following is a PBE-GGA calculation of a geometry-optimized Y3ThTe4 structure, from Alexandria.

Lattice parameters (Å, degrees): 4.3498 7.6389 7.6389 109.05 90.00 90.00
With the nearest neighbours (Å) after each atom.
Fractional positions:
Te  0.5000  0.2539  0.7461  5 Y 3.06-3.11, 1 Th 3.16
Te  0.0000  0.7418  0.7418  4 Y 3.05-3.11, 2 Th 3.16
Te  0.5000  0.7461  0.2539  5 Y 3.06-3.11, 1 Th 3.16
Te  0.0000  0.2582  0.2582  4 Y 3.05-3.11, 2 Th 3.16
Th  0.5000  0.0000  0.0000  6 Te 3.16
Y  0.0000  0.5000  0.0000  6 Te 3.11
Y  0.5000  0.5000  0.5000  6 Te 3.05-3.06
Y  0.0000  0.0000  0.5000  6 Te 3.11

Properties
Offset from the most stable computed form   0.007 eV/atom
Calculated total energy   -6.14 eV per atom
Energy relative to the elements, uncorrected   -118 kJ per mole of atoms
D(E_F)   0.697 states/eV/atom
Symmetry   Cmmm (65)

---

# 6
The following is a PBE-GGA calculation of a geometry-optimized FeAu3 structure, from Alexandria.

Lattice parameters (Å, degrees): 4.9342 4.9342 11.5292 149.80 149.80 34.40
With the nearest neighbours (Å) after each atom.
Fractional positions:
Au  0.0000  0.0000  0.7500  8 Au 2.83-2.93, 4 Fe 2.90
Au  0.9780  0.9780  0.4882  3 Fe 2.75-2.94, 9 Au 2.83-2.98
Au  0.0220  0.0220  0.0118  3 Fe 2.75-2.94, 9 Au 2.83-2.98
Fe  0.0000  0.0000  0.2500  10 Au 2.75-2.94, 2 Fe 2.92

Properties
Calculated total energy   -4.44 eV per atom
Formation energy from the elements   0.14 eV per atom
D(E_F)   0.749 states/eV/atom
Symmetry   C2/m (12)

---

# 7
The following is a PBE-GGA calculation of a geometry-optimized BeAsRuBr2 structure, from Alexandria.

Lattice parameters (Å, degrees): 4.6106 4.6106 4.5240 90.00 90.00 90.00
With the nearest neighbours (Å) after each atom.
Fractional positions:
Br  0.0000  0.5000  0.0000  2 Be 2.31
Br  0.5000  0.0000  0.0000  2 Be 2.31
Be  0.0000  0.0000  0.0000  2 As 2.26, 4 Br 2.31
Ru  0.5000  0.5000  0.5000  8 Br 3.23, 4 As 3.26
As  0.0000  0.0000  0.5000  2 Be 2.26

Properties
Offset from the most stable computed form   0.104 eV/atom
Calculated total energy   -3.33 eV per atom
Energy relative to the elements, uncorrected   84 kJ per mole of atoms
D(E_F)   1.143 states/eV/atom
Symmetry   P4/mmm (123)

---

# 8
The following is a PBE-GGA calculation of a geometry-optimized ScZn2Hg structure, from Alexandria.

Lattice parameters (Å, degrees): 8.6891 8.6891 8.6891 22.19 22.19 22.19
With the nearest neighbours (Å) after each atom.
Fractional positions:
Sc  0.7500  0.7500  0.7500  6 Zn 2.89
Zn  0.9987  0.9987  0.9987  3 Hg 2.84, 3 Sc 2.89
Zn  0.5013  0.5013  0.5013  3 Hg 2.84, 3 Sc 2.89
Hg  0.2500  0.2500  0.2500  6 Zn 2.84

Properties
Calculated total energy   -2.31 eV per atom
Formation energy from the elements   -0.02 eV per atom
D(E_F)   0.541 states/eV/atom
Symmetry   R-3m (166)

---

# 9
The following is a PBE-GGA calculation of a geometry-optimized DyAgHgPt structure, from Alexandria.

Lattice parameters (Å, degrees): 4.8720 4.8720 4.8720 60.00 60.00 60.00
With the nearest neighbours (Å) after each atom.
Fractional positions:
Pt  0.7500  0.7500  0.7500  4 Dy 2.98, 4 Hg 2.98
Ag  0.2500  0.2500  0.2500  4 Hg 2.98, 4 Dy 2.98
Dy  0.0000  0.0000  0.0000  4 Ag 2.98, 4 Pt 2.98
Hg  0.5000  0.5000  0.5000  4 Pt 2.98, 4 Ag 2.98

Properties
Calculated total energy   -3.97 eV per atom
Formation energy from the elements   -0.52 eV per atom
D(E_F)   0.555 states/eV/atom
Symmetry   F-43m (216)

---

# 10
The following is a PBE-GGA calculation of a geometry-optimized PrDy12In3 structure, from Alexandria.

Lattice parameters (Å, degrees): 4.8696 4.8696 19.8949 90.00 90.00 90.00
With the nearest neighbours (Å) after each atom.
Fractional positions:
In  0.0000  0.0000  0.5000  12 Dy 3.44
In  0.0000  0.0000  0.2572  12 Dy 3.42-3.47
In  0.0000  0.0000  0.7428  12 Dy 3.42-3.47
Dy  0.5000  0.5000  0.5000  8 Dy 3.44, 4 In 3.44
Dy  0.5000  0.0000  0.1330  8 Dy 3.44-3.60, 2 In 3.47, 2 Pr 3.60
Dy  0.5000  0.5000  0.2567  8 Dy 3.43-3.46, 4 In 3.44
Dy  0.5000  0.0000  0.3778  4 In 3.42-3.44, 8 Dy 3.43-3.44
Dy  0.5000  0.0000  0.6222  4 In 3.42-3.44, 8 Dy 3.43-3.44
Dy  0.0000  0.5000  0.8670  8 Dy 3.44-3.60, 2 In 3.47, 2 Pr 3.60
Dy  0.0000  0.5000  0.6222  4 In 3.42-3.44, 8 Dy 3.43-3.44
Dy  0.0000  0.5000  0.3778  4 In 3.42-3.44, 8 Dy 3.43-3.44
Dy  0.0000  0.5000  0.1330  8 Dy 3.44-3.60, 2 In 3.47, 2 Pr 3.60
Dy  0.5000  0.0000  0.8670  8 Dy 3.44-3.60, 2 In 3.47, 2 Pr 3.60
Dy  0.5000  0.5000  0.0000  4 Pr 3.44, 8 Dy 3.60
Dy  0.5000  0.5000  0.7433  8 Dy 3.43-3.46, 4 In 3.44
Pr  0.0000  0.0000  0.0000  12 Dy 3.44-3.60

Properties
Calculated total energy   -4.45 eV per atom
Formation energy from the elements   -0.19 eV per atom
D(E_F)   1.217 states/eV/atom
Symmetry   P4/mmm (123)

---

# 11
The following is a PBE-GGA calculation of a geometry-optimized La3SmTe6 structure, from Alexandria.

Lattice parameters (Å, degrees): 4.5410 12.8482 13.2732 108.75 90.00 90.00
With the nearest neighbours (Å) after each atom.
Fractional positions:
Sm  0.2500  0.9582  0.3105  8 Te 3.24-3.44
Sm  0.7500  0.0418  0.6895  8 Te 3.24-3.44
La  0.7500  0.1582  0.0776  6 Te 3.15-3.25
La  0.2500  0.8418  0.9224  6 Te 3.15-3.25
La  0.2500  0.5775  0.1696  6 Te 3.16-3.25
La  0.7500  0.4225  0.8304  6 Te 3.16-3.25
La  0.2500  0.3165  0.4947  7 Te 3.15-3.44
La  0.7500  0.6835  0.5053  7 Te 3.15-3.44
Te  0.7500  0.9167  0.1062  3 La 3.24-3.25, 2 Sm 3.44, 1 Te 3.60
Te  0.2500  0.0833  0.8938  3 La 3.24-3.25, 2 Sm 3.44, 1 Te 3.60
Te  0.2500  0.5155  0.3812  4 La 3.16-3.36
Te  0.7500  0.4006  0.0665  4 La 3.17-3.24
Te  0.7500  0.8149  0.7510  3 La 3.15, 1 Sm 3.27
Te  0.7500  0.1075  0.4646  3 Sm 3.24-3.35, 2 La 3.44
Te  0.2500  0.5994  0.9335  4 La 3.17-3.24
Te  0.2500  0.1851  0.2490  3 La 3.15, 1 Sm 3.27
Te  0.2500  0.2427  0.7145  3 La 3.25-3.34, 2 Sm 3.37, 1 Te 3.60
Te  0.7500  0.4845  0.6188  4 La 3.16-3.36
Te  0.7500  0.7573  0.2855  3 La 3.25-3.34, 2 Sm 3.37, 1 Te 3.60
Te  0.2500  0.8925  0.5354  3 Sm 3.24-3.35, 2 La 3.44

Properties
Offset from the most stable computed form   0.000 eV/atom
Calculated total energy   -5.34 eV per atom
Energy relative to the elements, uncorrected   -145 kJ per mole of atoms
Symmetry   P2_1/m (11)

---

# 12
The following is a PBE-GGA calculation of a geometry-optimized CsTbBi structure, from Alexandria.

Lattice parameters (Å, degrees): 5.1295 5.1295 14.8372 80.05 80.05 60.00
With the nearest neighbours (Å) after each atom.
Fractional positions:
Tb  0.6929  0.6929  0.9214  4 Bi 3.13-3.30
Tb  0.3071  0.3071  0.0786  4 Bi 3.13-3.30
Cs  0.1108  0.1108  0.6676  3 Bi 3.99
Cs  0.8892  0.8892  0.3324  3 Bi 3.99
Bi  0.3827  0.3827  0.8519  4 Tb 3.13-3.30
Bi  0.6173  0.6173  0.1481  4 Tb 3.13-3.30

Properties
Calculated total energy   -3.54 eV per atom
Formation energy from the elements   -0.42 eV per atom
D(E_F)   0.559 states/eV/atom
Symmetry   R-3m (166)

---

Calculated total magnetization, 0.0, 0.0, 0.0, 0.0, 0.0, 3.2, 2.1, 0.0, 0.0, 0.0, 0.0, 0.0 μB per formula unit (same order as the records).